The following is a DFT calculation (PBE-GGA) of a geometry-optimized TlSn3Pb2Se6 structure.

a b c (Å): 4.3028 8.6683 9.7225
angles (deg): 103.04 102.78 90.00
Positions (direct):
1 Se 0.3261 0.9173 0.6521
2 Se 0.6739 0.0827 0.3479
3 Se 0.9990 0.7326 0.9979
4 Se 0.3368 0.4115 0.6736
5 Se 0.6632 0.5885 0.3264
6 Se 0.0010 0.2674 0.0021
7 Sn 0.1680 0.8350 0.3359
8 Sn 0.5000 0.5000 0.0000
9 Sn 0.8320 0.1650 0.6641
10 Pb 0.1650 0.3336 0.3300
11 Pb 0.8350 0.6664 0.6700
12 Tl 0.5000 0.0000 0.0000

Values from the calculation:
The density of states at the Fermi level is 5.7 states/eV/cell. For the uncorrected formation energy, the calculation gives -456 meV per atom.